Material: SrEuCoO4
Method: DFT, GGA+U
State: optimized geometry

a = 6.7337 Å, b = 6.7337 Å, c = 6.7337 Å
α = 147.06°, β = 147.06°, γ = 47.28°
With the nearest neighbours (Å) after each atom.
Fractional coordinates of all 7 atoms:
1 O 0.8408 0.8408 0.0000  1 Co 2.00
2 O 0.1673 0.1673 0.0000  1 Co 2.03
3 Eu 0.3589 0.3589 0.0000  5 O 2.36-2.53
4 O 0.9935 0.4935 0.5000  2 Co 1.91
5 O 0.4935 0.9935 0.5000  2 Co 1.91
6 Sr 0.6431 0.6431 0.0000  9 O 2.44-2.72
7 Co 0.0028 0.0028 0.0000  6 O 1.91-2.03

Calculated values
Total energy, eV/atom: -7.39
DOS(E_F), states/eV/atom: 1.46